1.
Computed, not measured: MnFeOs2 after structural relaxation at the PBE level of DFT.

Lattice parameters (Å, degrees): 2.676 3.753 5.226 90.00 90.00 90.00
Site moments in Bohr magnetons follow the coordinates.
Sites, in units of the cell vectors:
Os  0.500  0.500  0.253  0.10
Os  0.000  0.000  0.999  -0.20
Mn  0.500  0.500  0.742  2.18
Fe  0.000  0.000  0.506  -2.07

## Properties
- Density of states at the Fermi level: 4.2 states/eV/f.u.
- E_form: 0.098 eV per atom
- Total magnetization: 0.07 μB per formula unit
- Space group: Pmm2 (25)

2.
Computed, not measured: Pr2ThAu after structural relaxation at the PBE level of DFT.

Lattice parameters (Å, degrees): 3.611 5.697 5.697 90.00 90.00 90.00
Sites, in units of the cell vectors:
Th  0.500  0.500  0.500
Au  0.500  0.000  0.000
Pr  0.000  0.500  0.000
Pr  0.000  0.000  0.500

## Properties
- Energy relative to the lowest polymorph listed for this composition: 0.69 eV/f.u.
- Density of states at the Fermi level: 5.2 states/eV/f.u.
- E_form: -0.178 eV per atom
- Total magnetization: 0.00 μB per formula unit
- Space group: P4/mmm (123)

3.
Computed, not measured: NbCdNi3 after structural relaxation at the PBE level of DFT.

Lattice parameters (Å, degrees): 4.566 4.566 4.566 90.00 90.00 90.00
Sites, in units of the cell vectors:
Cd  0.500  0.500  0.500
Ni  0.000  0.000  0.500
Ni  0.000  0.500  0.000
Ni  0.500  0.000  0.000
Nb  0.000  0.000  0.000

## Properties
- Energy relative to the lowest polymorph listed for this composition: 0.00 eV/f.u.
- Density of states at the Fermi level: 5.4 states/eV/f.u.
- E_form: 1.073 eV per atom
- Total magnetization: 0.00 μB per formula unit
- Space group: Pm-3m (221)

4.
Computed, not measured: HgC2 after structural relaxation at the PBE level of DFT.

Lattice parameters (Å, degrees): 6.118 6.118 6.176 71.76 71.76 24.50
Sites, in units of the cell vectors:
C  0.069  0.069  0.647
C  0.464  0.464  0.422
C  0.931  0.931  0.353
C  0.536  0.536  0.578
Hg  0.819  0.819  0.129
Hg  0.181  0.181  0.871

## Properties
- Energy relative to the lowest polymorph listed for this composition: 0.46 eV/f.u.
- Density of states at the Fermi level: 0.3 states/eV/f.u.
- E_form: 0.690 eV per atom
- Total magnetization: 0.00 μB per formula unit
- Space group: C2/m (12)